This record from the Alexandria database describes crystalline SmZrCuRh at its relaxed geometry. The functional is PBE.

Values from the calculation:
Space group: F-43m, No. 216
E_form (eV/atom): -0.37

Structure (POSCAR):
```
SmZrCuRh
1.0
-3.529 -3.280 -0.174
-0.957 -2.295 -4.130
1.076 -4.676 -0.465
Cu Rh Zr Sm
1 1 1 1
Direct
0.250 0.250 0.250 Cu
0.750 0.750 0.750 Rh
0.000 0.000 0.000 Zr
0.500 0.500 0.500 Sm
```

***

This record from the Alexandria database describes crystalline Ac3Ag8Sn at its relaxed geometry. The functional is PBE.

Values from the calculation:
Space group: R3m, No. 160
E_form (eV/atom): -0.19

Structure (POSCAR):
```
Ac3Ag8Sn
1.0
-4.176 2.866 3.036
-4.803 2.024 -2.775
-7.495 -6.727 1.783
Ac Ag Sn
3 8 1
Direct
0.378 0.378 0.867 Ac
0.993 0.993 0.022 Ac
0.505 0.505 0.486 Ac
0.943 0.436 0.185 Ag
0.438 0.938 0.686 Ag
0.436 0.436 0.185 Ag
0.938 0.938 0.686 Ag
0.189 0.189 0.434 Ag
0.688 0.688 0.937 Ag
0.436 0.943 0.185 Ag
0.938 0.438 0.686 Ag
0.870 0.870 0.391 Sn
```

***

This record from the Alexandria database describes crystalline ZnFeBr at its relaxed geometry. The functional is PBE.

Values from the calculation:
Space group: P-6m2, No. 187
Offset from the most stable computed form (meV per atom): 344

Structure (POSCAR):
```
ZnFeBr
1.0
-4.033 1.460 0.818
1.227 -0.841 -4.105
-1.067 -3.128 0.322
Br Fe Zn
1 1 1
Direct
0.000 0.000 0.166 Br
0.667 0.333 0.167 Fe
0.333 0.667 0.667 Zn
```